Here is crystalline Co3SbMo at its relaxed geometry from the Alexandria database. Energies are from PBE.

**Energy relative to the lowest polymorph listed for this composition**: 325 meV/atom
**Space-group type**: Pm-3m
**Formation energy from raw total energies**: 7.9 eV per formula unit

abc: 4.532 4.532 4.532
angles: 90.00 90.00 90.00
Site moments in Bohr magnetons follow the coordinates.
Positions (direct):
Sb  0.000  0.000  0.000  -0.05
Co  0.000  0.500  0.000  1.07
Co  0.500  0.000  0.000  1.22
Co  0.000  0.000  0.500  1.11
Mo  0.500  0.500  0.500  2.42

=====

Here is crystalline Ta2ZnSi2 at its relaxed geometry from the Alexandria database. Energies are from PBE.

**Energy relative to the lowest polymorph listed for this composition**: 120 meV/atom
**Space-group type**: P4/mbm
**Formation energy from raw total energies**: -0.4 eV per formula unit

abc: 6.934 6.934 3.434
angles: 90.00 90.00 90.00
Positions (direct):
Ta  0.341  0.841  0.000
Ta  0.841  0.659  0.000
Ta  0.159  0.341  0.000
Ta  0.659  0.159  0.000
Si  0.864  0.364  0.500
Si  0.364  0.136  0.500
Si  0.636  0.864  0.500
Si  0.136  0.636  0.500
Zn  0.000  0.000  0.000
Zn  0.500  0.500  0.000

=====

Here is crystalline RbCeGa2Br6 at its relaxed geometry from the Alexandria database. Energies are from PBE.

**Space-group type**: P2_1/c
**Formation energy from raw total energies**: -13.0 eV per formula unit

abc: 7.669 9.007 11.375
angles: 90.00 88.65 90.00
Site moments in Bohr magnetons follow the coordinates.
Positions (direct):
Br  0.831  0.842  0.530  0.00
Br  0.150  0.393  0.777  -0.01
Br  0.669  0.342  0.970  0.00
Br  0.169  0.158  0.470  0.00
Br  0.172  0.252  0.117  -0.01
Br  0.350  0.893  0.723  -0.01
Br  0.650  0.107  0.277  -0.01
Br  0.828  0.748  0.883  -0.01
Br  0.672  0.248  0.617  -0.01
Br  0.328  0.752  0.383  -0.01
Br  0.850  0.607  0.223  -0.01
Br  0.331  0.658  0.030  0.00
Rb  0.500  0.000  0.000  0.00
Rb  0.000  0.500  0.500  0.00
Ga  0.506  0.570  0.803  0.00
Ga  0.494  0.430  0.197  0.00
Ga  0.994  0.070  0.697  0.00
Ga  0.006  0.930  0.303  0.00
Ce  0.500  0.000  0.500  0.98
Ce  0.000  0.500  0.000  0.98

=====

Here is crystalline Zr2Co2Si at its relaxed geometry from the Alexandria database. Energies are from PBE.

**Energy relative to the lowest polymorph listed for this composition**: 27 meV/atom
**Space-group type**: C2/m
**Formation energy from raw total energies**: -2.9 eV per formula unit

abc: 5.117 5.117 9.913
angles: 66.76 66.76 41.84
Positions (direct):
Zr  0.811  0.811  0.105
Zr  0.991  0.991  0.671
Zr  0.189  0.189  0.895
Zr  0.009  0.009  0.329
Co  0.527  0.527  0.109
Co  0.339  0.339  0.545
Co  0.661  0.661  0.455
Co  0.473  0.473  0.891
Si  0.707  0.707  0.670
Si  0.293  0.293  0.330

=====

Here is crystalline BeAsSBr2 at its relaxed geometry from the Alexandria database. Energies are from PBE.

**Energy relative to the lowest polymorph listed for this composition**: 0 meV/atom
**Space-group type**: P4/mmm
**Formation energy from raw total energies**: 2.3 eV per formula unit

abc: 4.507 4.507 5.216
angles: 90.00 90.00 90.00
Site moments in Bohr magnetons follow the coordinates.
Positions (direct):
Be  0.000  0.000  0.000  0.00
S  0.500  0.500  0.500  0.37
Br  0.500  0.000  0.000  0.06
Br  0.000  0.500  0.000  0.06
As  0.000  0.000  0.500  -0.05

=====

Here is crystalline YMn2W at its relaxed geometry from the Alexandria database. Energies are from PBE.

**Energy relative to the lowest polymorph listed for this composition**: 219 meV/atom
**Space-group type**: Imm2
**Formation enthalpy at 0 K**: 1.8 eV per formula unit

abc: 5.487 5.487 5.487
angles: 147.32 129.27 61.66
Site moments in Bohr magnetons follow the coordinates.
Positions (direct):
W  0.538  0.538  0.000  -0.26
Y  0.254  0.754  0.500  -0.07
Mn  0.972  0.972  0.000  3.20
Mn  0.736  0.236  0.500  0.08

=====

Here is crystalline B5C7 at its relaxed geometry from the Alexandria database. Energies are from PBE.

**Energy relative to the lowest polymorph listed for this composition**: 114 meV/atom
**Space-group type**: Cm
**Formation enthalpy at 0 K**: 4.5 eV per formula unit

abc: 4.513 4.513 8.241
angles: 117.70 117.70 31.81
Positions (direct):
B  0.335  0.335  0.676
B  0.039  0.039  0.003
B  0.493  0.493  0.381
B  0.301  0.301  0.161
B  0.837  0.837  0.026
C  0.518  0.518  0.862
C  0.672  0.672  0.818
C  0.158  0.158  0.233
C  0.829  0.829  0.530
C  0.660  0.660  0.340
C  0.995  0.995  0.518
C  0.163  0.163  0.704

=====

no.,energy (eV/cell),size of the total moment (μB/f.u.)
1,-28.4,6.05
2,-72.5,0.00
3,-71.9,1.00
4,-79.2,0.00
5,-13.6,0.61
6,-35.9,2.94
7,-93.5,0.00